A plane-wave DFT calculation with SCAN was carried out for a PBEsol-optimized structure of Re2MoBr.

Cell lengths 3.0242, 3.0242, 6.7526 Å; angles 90.00, 90.00, 90.00 degrees
Last column: nearest neighbours and their distance in Å.
Atoms (fractional coordinates):
Re1 0.0000 0.0000 0.2628  4 Mo 2.67, 4 Br 2.78
Re2 0.0000 0.0000 0.7372  4 Mo 2.67, 4 Br 2.78
Br1 0.5000 0.5000 0.0000  8 Re 2.78, 4 Br 3.02
Mo1 0.5000 0.5000 0.5000  8 Re 2.67

Results
The space-group type is No. 123. The energy above the most stable polymorph in this dataset comes out at 0.403 eV/f.u. As for the density of states at the Fermi level: 1.79 states/eV/cell. Its total magnetization is 0.00 μB per cell. As for the uncorrected formation energy: 3.5 eV per formula unit.

***

A plane-wave DFT calculation with SCAN was carried out for a PBEsol-optimized structure of Re2MoBr.

Cell lengths 2.7886, 2.7886, 9.1979 Å; angles 90.00, 90.00, 115.95 degrees
Last column: nearest neighbours and their distance in Å.
Atoms (fractional coordinates):
Re1 0.5000 0.5000 0.7695  6 Re 2.59-2.79
Re2 0.0000 0.0000 0.0007  6 Re 2.59-2.79, 2 Mo 2.65
Mo1 0.5000 0.5000 0.2403  2 Re 2.65, 2 Br 2.73, 6 Mo 2.79-2.96
Br1 0.0000 0.0000 0.4896  2 Mo 2.73, 6 Br 2.79-2.96, 2 Re 2.97

Results
The space-group type is No. 35. The energy above the most stable polymorph in this dataset comes out at 0.392 eV/f.u. As for the density of states at the Fermi level: 3.58 states/eV/cell. Its total magnetization is 0.00 μB per cell. As for the uncorrected formation energy: 3.5 eV per formula unit.

***

A plane-wave DFT calculation with SCAN was carried out for a PBEsol-optimized structure of ReMo2Br.

Cell lengths 4.4476, 4.4476, 4.4476 Å; angles 60.00, 60.00, 60.00 degrees
Last column: nearest neighbours and their distance in Å.
Atoms (fractional coordinates):
Mo1 0.0000 0.0000 0.0000  4 Mo 2.72, 4 Re 2.72
Mo2 0.7500 0.7500 0.7500  4 Br 2.72, 4 Mo 2.72
Re1 0.2500 0.2500 0.2500  4 Mo 2.72, 4 Br 2.72
Br1 0.5000 0.5000 0.5000  4 Mo 2.72, 4 Re 2.72

Results
The space-group type is No. 216. The energy above the most stable polymorph in this dataset comes out at 2.157 eV/f.u. As for the density of states at the Fermi level: 4.09 states/eV/cell. Its total magnetization is 0.00 μB per cell. As for the uncorrected formation energy: 4.9 eV per formula unit.

***

A plane-wave DFT calculation with SCAN was carried out for a PBEsol-optimized structure of Re2MoBr.

Cell lengths 2.8816, 4.7779, 5.2441 Å; angles 115.38, 103.30, 95.64 degrees
Last column: nearest neighbours and their distance in Å.
Atoms (fractional coordinates):
Br1 0.5000 0.0000 0.0000  4 Mo 2.67-2.91, 4 Re 2.69, 2 Br 2.88
Re1 0.5000 0.5000 0.5000  6 Re 2.67-2.91, 2 Br 2.69, 2 Mo 2.69
Re2 0.0000 0.0000 0.5000  6 Re 2.67-2.91, 2 Br 2.69, 2 Mo 2.69
Mo1 0.0000 0.5000 0.0000  4 Br 2.67-2.91, 4 Re 2.69, 2 Mo 2.88

Results
The space-group type is No. 12. The energy above the most stable polymorph in this dataset comes out at 1.599 eV/f.u. As for the density of states at the Fermi level: 2.96 states/eV/cell. Its total magnetization is 0.00 μB per cell. As for the uncorrected formation energy: 4.7 eV per formula unit.

***

Copy entry 2 word for word.
A plane-wave DFT calculation with SCAN was carried out for a PBEsol-optimized structure of Re2MoBr.

Cell lengths 2.7886, 2.7886, 9.1979 Å; angles 90.00, 90.00, 115.95 degrees
Last column: nearest neighbours and their distance in Å.
Atoms (fractional coordinates):
Re1 0.5000 0.5000 0.7695  6 Re 2.59-2.79
Re2 0.0000 0.0000 0.0007  6 Re 2.59-2.79, 2 Mo 2.65
Mo1 0.5000 0.5000 0.2403  2 Re 2.65, 2 Br 2.73, 6 Mo 2.79-2.96
Br1 0.0000 0.0000 0.4896  2 Mo 2.73, 6 Br 2.79-2.96, 2 Re 2.97

Results
The space-group type is No. 35. The energy above the most stable polymorph in this dataset comes out at 0.392 eV/f.u. As for the density of states at the Fermi level: 3.58 states/eV/cell. Its total magnetization is 0.00 μB per cell. As for the uncorrected formation energy: 3.5 eV per formula unit.

***

What is the formula in the second record? Re2MoBr